Entry 1:
A plane-wave DFT calculation with GGA-PBE was carried out for a geometry-optimized Re2RhSe structure.

Calculated values
Total moment ... 0.000 Bohr magnetons per cell
Total DFT energy (no corrections) ... -8.662 eV/atom
Formation energy from raw total energies ... 0.27 eV per atom

Unit cell a=2.8797 b=3.9952 c=5.4789 alpha=90.00 beta=105.08 gamma=90.00
Last column: nearest neighbours and their distance in Å.
Element x y z (fractional)
Re 0.0000 0.0000 0.0000  1 Se 2.44, 2 Re 2.73
Re 0.3778 0.5000 0.7706  2 Se 2.58, 1 Rh 2.70, 6 Re 2.73-2.88
Rh 0.6371 0.5000 0.2808  4 Se 2.64-2.65, 5 Re 2.70-2.88, 2 Rh 2.88
Se 0.2297 0.0000 0.4614  3 Re 2.44-2.58, 4 Rh 2.64-2.65

***

Entry 2:
A plane-wave DFT calculation with GGA-PBE was carried out for a geometry-optimized Mo2C structure.

Calculated values
Total moment ... 0.000 Bohr magnetons per cell
ΔH_f (0 K) ... 0.09 eV/atom
Total DFT energy (no corrections) ... -10.204 eV/atom

Unit cell a=2.8197 b=9.9316 c=5.2053 alpha=90.00 beta=90.00 gamma=90.00
Last column: nearest neighbours and their distance in Å.
Element x y z (fractional)
Mo 0.0000 0.0252 0.0000  4 C 2.25-2.28
Mo 0.0000 0.2788 0.8278  3 C 2.22-2.25
Mo 0.0000 0.7212 0.3278  3 C 2.22-2.25
Mo 0.0000 0.9748 0.5000  4 C 2.25-2.28
Mo 0.5000 0.2212 0.3278  3 C 2.22-2.25
Mo 0.5000 0.4748 0.5000  4 C 2.25-2.28
Mo 0.5000 0.5252 0.0000  4 C 2.25-2.28
Mo 0.5000 0.7788 0.8278  3 C 2.22-2.25
C 0.0000 0.3830 0.2114  7 Mo 2.22-2.28
C 0.0000 0.6170 0.7114  7 Mo 2.22-2.28
C 0.5000 0.1170 0.7114  7 Mo 2.22-2.28
C 0.5000 0.8830 0.2114  7 Mo 2.22-2.28

***

Entry 3:
A plane-wave DFT calculation with GGA-PBE was carried out for a geometry-optimized LiMo2Cl structure.

Calculated values
Total moment ... 0.000 Bohr magnetons per cell
Total DFT energy (no corrections) ... -6.458 eV/atom
Formation energy from raw total energies ... -0.10 eV per atom
E above lowest polymorph ... 0.000 eV per atom

Unit cell a=3.2712 b=3.2267 c=6.7451 alpha=90.00 beta=102.49 gamma=90.00
Last column: nearest neighbours and their distance in Å.
Element x y z (fractional)
Li 0.0000 0.0000 0.0000  4 Cl 2.42-2.43
Mo 0.3729 0.5000 0.7099  4 Mo 2.47-2.69, 1 Cl 2.68
Mo 0.7389 0.0000 0.5326  4 Mo 2.47-2.69
Cl 0.5539 0.5000 0.1161  4 Li 2.42-2.43, 1 Mo 2.68